Computed, not measured: a relaxed Dy2TmThBi5 crystal at the GGA-PBE level of DFT.

Lattice parameters (Å, degrees): 5.730 5.730 11.853 90.00 90.00 90.00
Atoms (fractional coordinates):
Bi: 0.000 0.500 0.500
Bi: 0.500 0.000 0.500
Bi: 0.500 0.500 0.000
Bi: 0.000 0.000 0.759
Bi: 0.000 0.000 0.241
Dy: 0.500 0.500 0.730
Dy: 0.500 0.500 0.270
Th: 0.000 0.000 0.500
Tm: 0.000 0.000 0.000

Computed properties:
* SG: P4/mmm, No. 123
* DOS(E_F): 7.6 states/eV per cell
* magnetic moment: 0.00 μB per cell
* formation energy: 237 meV per atom